Computed, not measured: a relaxed structure of K2V2RhO7 at the GGA+U level of DFT.

Cell: 8.012 8.012 8.012 Å, 42.31 42.31 42.31°
Element x y z (fractional)
K 0.235 0.235 0.235
K 0.765 0.765 0.765
V 0.083 0.083 0.083
V 0.917 0.917 0.917
Rh 0.500 0.500 0.500
O 0.000 0.000 0.000
O 0.214 0.727 0.727
O 0.273 0.273 0.786
O 0.273 0.786 0.273
O 0.727 0.214 0.727
O 0.727 0.727 0.214
O 0.786 0.273 0.273

The calculation puts the total magnetization at 1.00 μB/cell. The value obtained for the calculated volume is 211.0 Å³ per cell. The space group is R-3m (166). The value obtained for the total energy is -78.73 eV for the cell shown.